Record 1
{
  "formula": "AlZn2Cu",
  "functional": "PBEsol",
  "state": "relaxed",
  "magnetic_moment_mub_per_cell": 0.0,
  "ef_ev_per_atom": -0.051,
  "sg": "Pmm2, No. 25",
  "lattice_angstrom": [[2.692, 0.000, 0.022], [0.000, 4.301, 0.000], [-0.038, 0.000, 4.663]],
  "species": ["Zn", "Zn", "Cu", "Al"],
  "fractional_positions": [[0.125, 0.000, 0.957], [0.625, 0.500, 0.798], [0.125, 0.500, 0.297], [0.625, 0.000, 0.448]]
}

---

Record 2
{
  "formula": "ZrAgC3",
  "functional": "PBEsol",
  "state": "relaxed",
  "magnetic_moment_mub_per_cell": 0.0,
  "ef_ev_per_atom": 2.326,
  "sg": "Pm-3m, No. 221",
  "lattice_angstrom": [[4.275, 0.000, 0.000], [0.000, 4.275, 0.000], [0.000, 0.000, 4.275]],
  "species": ["C", "C", "C", "Zr", "Ag"],
  "fractional_positions": [[0.500, 0.000, 0.000], [0.000, 0.000, 0.500], [0.000, 0.500, 0.000], [0.000, 0.000, 0.000], [0.500, 0.500, 0.500]]
}